1.
DFT (PBE-GGA) results for a relaxed structure of Rb4PrBi3O12.

a b c (Å): 8.8104 8.8104 8.8104
angles (deg): 90.00 90.00 90.00
Last column: nearest neighbours and their distance in Å.
Space group Im-3m (No. 229)
Symmetry-distinct sites (fractional):
Rb  0.2500  0.2500  0.2500 x8  12 O 3.11-3.12
Pr  0.0000  0.0000  0.0000 x2  6 O 2.34
Bi  0.0000  0.0000  0.5000 x6  6 O 2.06-2.20
O  0.0000  0.0000  0.2659 x12  1 Bi 2.06
O  0.0000  0.2500  0.5000 x12  2 Bi 2.20

Properties
Uncorrected formation energy in kJ/mol of formula units: -2444
Total moment in μB/atom: 0.104
Uncorrected energy in eV per atom: -5.26

***

2.
DFT (PBE-GGA) results for a relaxed structure of RbPr2BiO5.

a b c (Å): 7.0043 7.0043 6.5512
angles (deg): 90.00 90.00 90.00
Last column: nearest neighbours and their distance in Å.
Space group P4/mbm (No. 127)
Symmetry-distinct sites (fractional):
Rb  0.0000  0.0000  0.0000 x2  10 O 3.22-3.28, 4 Bi 3.50
Pr  0.1769  0.3231  0.5000 x4  4 O 2.34-2.58
Bi  0.0000  0.5000  0.0000 x2  4 O 2.26
O  0.0000  0.0000  0.5000 x2  4 Pr 2.58
O  0.1435  0.6435  0.2687 x8  1 Bi 2.26, 1 Pr 2.34

Properties
Uncorrected formation energy in kJ/mol of formula units: -1904
Total moment in μB/atom: 0.000
Uncorrected energy in eV per atom: -6.55

***

3.
DFT (PBE-GGA) results for a relaxed structure of Rb3Pr3BiO8.

a b c (Å): 7.3013 7.3013 20.0723
angles (deg): 90.00 90.00 120.00
Last column: nearest neighbours and their distance in Å.
Space group R-3m (No. 166, hexagonal axes)
Symmetry-distinct sites (fractional):
Rb  0.0000  0.5000  0.0000 x9  6 O 2.99-3.02
Pr  0.0000  0.5000  0.5000 x9  6 O 2.41-2.46
Bi  0.0000  0.0000  0.5000 x3  6 O 2.32
O  0.0000  0.0000  0.2254 x6  3 Pr 2.41
O  0.0172  0.5086  0.2249 x18  1 Bi 2.32, 2 Pr 2.46

Properties
Uncorrected formation energy in kJ/mol of formula units: -3247
Total moment in μB/atom: 0.000
Uncorrected energy in eV per atom: -6.30